# 1
DFT (GGA-PBE) results for KCoAs2 after structural relaxation.

SG: Imm2, No. 44
Calculated volume, Å³/atom: 20.61
Polymorph energy (0 for the lowest one), kJ/mol of formula units: 67
Formation energy, eV per atom: -0.068
DOS at the Fermi energy, states/eV/cell: 3.490

The structure in extended XYZ format:
```
4
Lattice="-1.1735 4.3726 6.8813 -5.2951 4.0077 4.8733 3.1953 -6.0724 -4.5569" Properties=species:S:1:pos:R:3 pbc="T T T"
As -0.0963 0.1247 0.1750
As -3.2588 1.8295 4.1724
K -0.2049 0.7253 3.3716
Co -2.9475 3.8186 5.3562
```

# 2
DFT (GGA-PBE) results for Ag4SbSe4 after structural relaxation.

Formation energy from raw total energies, meV/atom: -79
SG: C2/m, No. 12
Calculated volume, Å³/atom: 25.03
Polymorph energy (0 for the lowest one), kJ/mol of formula units: 0
DOS at the Fermi energy, states/eV/cell: 2.706

The structure in extended XYZ format:
```
9
Lattice="0.1292 2.2052 3.3564 2.6885 -4.1651 5.0381 7.9346 3.1522 0.0286" Properties=species:S:1:pos:R:3 pbc="T T T"
Sb 0.0646 1.1026 1.6782
Ag 2.9795 0.2075 4.5592
Se 7.7162 3.6385 4.5277
Ag 5.0051 1.8414 1.0026
Se 2.9020 0.5729 1.9170
Se 3.0362 -2.4462 3.8954
Ag 7.7729 0.9848 3.8639
Se 7.8504 0.6194 6.5061
Ag 5.7473 -0.6491 7.4205
```